# HgBr2

An optimized crystal structure of HgBr2 (PBE-GGA, the Open Quantum Materials Database).

Cell: 8.5842 8.5842 8.5842 Å, 60.00 60.00 60.00°
With the nearest neighbours (Å) after each atom.
Positions (direct):
1 Br 0.3750 0.3750 0.3750  2 Hg 2.63
2 Br 0.8750 0.3750 0.3750  2 Hg 2.63
3 Br 0.3750 0.8750 0.3750  2 Hg 2.63
4 Br 0.3750 0.3750 0.8750  2 Hg 2.63
5 Hg 0.2500 0.2500 0.2500  4 Br 2.63
6 Hg 0.5000 0.5000 0.5000  4 Br 2.63

Output
- calculated volume (Å³ per cell) = 447
- calculated total energy (eV/atom) = -1.460
- space group = Fd-3m (227)
- crystal system = cubic